# AcTbAgAu, relaxed, DFT GGA-PBE
# formation enthalpy at 0 K	-0.49	eV/atom
# symmetry	No. 216
# energy relative to the lowest polymorph listed for this composition	22	meV per atom
# electronic total energy	-16.8	eV for the cell shown
# V	109.42	Å³ per cell
data_AcTbAgAu
_cell_length_a 5.3687
_cell_length_b 5.3687
_cell_length_c 5.3687
_cell_angle_alpha 60.00
_cell_angle_beta 60.00
_cell_angle_gamma 60.00
_space_group_name_H-M_alt 'P 1'
_space_group_IT_number 1
_space_group_name_Hall 'P 1'
loop_
_atom_site_label
_atom_site_type_symbol
_atom_site_fract_x
_atom_site_fract_y
_atom_site_fract_z
_atom_site_occupancy
Tb1 Tb 0.5000 0.5000 0.5000 1
Ac1 Ac 0.0000 0.0000 0.0000 1
Au1 Au 0.7500 0.7500 0.7500 1
Ag1 Ag 0.2500 0.2500 0.2500 1